No. 1
Compound: Sc6CuNi2
Source: Alexandria
Functional: PBE
Structure: optimized geometry

Computed properties:
* DOS(E_F): 1.22 states/eV/atom
* E_tot: -6.2535 eV per atom
* SG: Immm, No. 71
* crystal system: orthorhombic

Cell: 7.679 7.679 7.679 Å, 110.95 110.16 107.32°
Atoms (fractional coordinates):
Sc1 0.030 0.827 0.203
Sc2 0.244 0.550 0.307
Sc3 0.244 0.937 0.693
Sc4 0.275 0.320 0.595
Sc5 0.275 0.680 0.955
Sc6 0.377 0.173 0.203
Sc7 0.623 0.827 0.797
Sc8 0.725 0.320 0.045
Sc9 0.725 0.680 0.405
Sc10 0.756 0.063 0.307
Sc11 0.756 0.450 0.693
Sc12 0.970 0.173 0.797
Cu1 0.000 0.500 0.500
Cu2 0.500 0.000 0.500
Ni1 0.000 0.152 0.152
Ni2 0.000 0.848 0.848
Ni3 0.373 0.373 0.000
Ni4 0.627 0.627 0.000

=====

No. 2
Compound: Sc5CuNi
Source: Alexandria
Functional: PBE
Structure: optimized geometry

Computed properties:
* DOS(E_F): 1.19 states/eV/atom
* E_tot: -5.9403 eV per atom
* SG: C2/c, No. 15
* crystal system: monoclinic

Cell: 6.103 6.103 9.566 Å, 105.55 105.55 63.72°
Atoms (fractional coordinates):
Sc1 0.014 0.417 0.655
Sc2 0.061 0.939 0.750
Sc3 0.228 0.552 0.002
Sc4 0.417 0.014 0.155
Sc5 0.448 0.772 0.498
Sc6 0.552 0.228 0.502
Sc7 0.583 0.986 0.845
Sc8 0.772 0.448 0.998
Sc9 0.939 0.061 0.250
Sc10 0.986 0.583 0.345
Cu1 0.470 0.530 0.750
Cu2 0.530 0.470 0.250
Ni1 0.000 0.000 0.000
Ni2 0.000 0.000 0.500

=====

No. 3
Compound: ScCuNi2
Source: Alexandria
Functional: PBE
Structure: optimized geometry

Computed properties:
* DOS(E_F): 0.50 states/eV/atom
* E_tot: -5.8179 eV per atom
* SG: I-4m2, No. 119
* crystal system: tetragonal

Cell: 4.674 4.674 4.674 Å, 133.45 133.45 67.94°
Atoms (fractional coordinates):
Sc1 0.000 0.000 0.000
Cu1 0.250 0.750 0.500
Ni1 0.500 0.500 0.000
Ni2 0.750 0.250 0.500

=====

No. 4
Compound: Sc2CuNi
Source: Alexandria
Functional: PBE
Structure: optimized geometry

Computed properties:
* DOS(E_F): 0.91 states/eV/atom
* E_tot: -5.8679 eV per atom
* SG: Imm2, No. 44
* crystal system: orthorhombic

Cell: 5.565 5.565 5.565 Å, 146.94 133.82 57.96°
Atoms (fractional coordinates):
Sc1 0.000 0.000 0.000
Sc2 0.712 0.212 0.500
Cu1 0.272 0.772 0.500
Ni1 0.473 0.473 0.000

=====

No. 5
Compound: Sc2Cu5Ni4
Source: Alexandria
Functional: PBE
Structure: optimized geometry

Computed properties:
* DOS(E_F): 0.44 states/eV/atom
* E_tot: -5.2518 eV per atom
* SG: Fmmm, No. 69
* crystal system: orthorhombic

Cell: 8.983 8.386 4.694 Å, 81.47 67.41 31.12°
Atoms (fractional coordinates):
Sc1 0.131 0.131 0.869
Sc2 0.869 0.869 0.131
Cu1 0.000 0.000 0.500
Cu2 0.250 0.250 0.250
Cu3 0.500 0.500 0.000
Cu4 0.500 0.500 0.500
Cu5 0.750 0.750 0.750
Ni1 0.209 0.536 0.464
Ni2 0.464 0.791 0.209
Ni3 0.536 0.209 0.791
Ni4 0.791 0.464 0.536

=====

No. 6
Compound: Sc3Cu2Ni7
Source: Alexandria
Functional: PBE
Structure: optimized geometry

Computed properties:
* DOS(E_F): 0.90 states/eV/atom
* E_tot: -6.0431 eV per atom
* SG: R-3m, No. 166
* crystal system: trigonal

Cell: 8.401 8.401 8.401 Å, 33.63 33.63 33.63°
Atoms (fractional coordinates):
Sc1 0.000 0.000 0.000
Sc2 0.140 0.140 0.140
Sc3 0.860 0.860 0.860
Cu1 0.334 0.334 0.334
Cu2 0.666 0.666 0.666
Ni1 0.081 0.587 0.587
Ni2 0.413 0.413 0.919
Ni3 0.413 0.919 0.413
Ni4 0.500 0.500 0.500
Ni5 0.587 0.081 0.587
Ni6 0.587 0.587 0.081
Ni7 0.919 0.413 0.413

=====

No. 7
Compound: ScCu2Ni4
Source: Alexandria
Functional: PBE
Structure: optimized geometry

Computed properties:
* DOS(E_F): 1.06 states/eV/atom
* E_tot: -5.5469 eV per atom
* SG: C2/m, No. 12
* crystal system: monoclinic

Cell: 4.917 4.917 4.758 Å, 118.78 118.78 76.41°
Atoms (fractional coordinates):
Sc1 0.000 0.000 0.000
Cu1 0.500 0.500 0.249
Cu2 0.500 0.500 0.751
Ni1 0.000 0.391 0.695
Ni2 0.000 0.609 0.305
Ni3 0.391 0.000 0.695
Ni4 0.609 0.000 0.305

=====

No. 8
Compound: ScCu6Ni6
Source: Alexandria
Functional: PBE
Structure: optimized geometry

Computed properties:
* DOS(E_F): 0.84 states/eV/atom
* E_tot: -5.1366 eV per atom
* SG: Immm, No. 71
* crystal system: orthorhombic

Cell: 6.285 6.285 6.285 Å, 135.79 98.21 98.06°
Atoms (fractional coordinates):
Sc1 0.000 0.000 0.000
Cu1 0.213 0.500 0.713
Cu2 0.348 0.348 0.000
Cu3 0.352 0.000 0.352
Cu4 0.648 0.000 0.648
Cu5 0.652 0.652 0.000
Cu6 0.787 0.500 0.287
Ni1 0.000 0.000 0.500
Ni2 0.000 0.500 0.000
Ni3 0.218 0.718 0.500
Ni4 0.500 0.000 0.000
Ni5 0.500 0.500 0.500
Ni6 0.782 0.282 0.500

=====

No. 9
Compound: Sc4Cu2Ni
Source: Alexandria
Functional: PBE
Structure: optimized geometry

Computed properties:
* DOS(E_F): 0.93 states/eV/atom
* E_tot: -5.8293 eV per atom
* SG: R-3m, No. 166
* crystal system: trigonal

Cell: 7.792 7.792 7.792 Å, 33.88 33.88 33.88°
Atoms (fractional coordinates):
Sc1 0.123 0.123 0.123
Sc2 0.374 0.374 0.374
Sc3 0.626 0.626 0.626
Sc4 0.877 0.877 0.877
Cu1 0.246 0.246 0.246
Cu2 0.754 0.754 0.754
Ni1 0.500 0.500 0.500

=====

No. 10
Compound: ScCuSi2Ni
Source: Alexandria
Functional: PBE
Structure: optimized geometry

Computed properties:
* DOS(E_F): 0.38 states/eV/atom
* SG: I-4m2, No. 119
* crystal system: tetragonal
* E_form (uncorrected): -62 kJ/mol of atoms

Cell: 5.632 5.632 5.632 Å, 140.49 140.49 57.12°
Atoms (fractional coordinates):
Sc1 0.000 0.000 0.000
Cu1 0.250 0.750 0.500
Si1 0.384 0.384 0.000
Si2 0.616 0.616 0.000
Ni1 0.750 0.250 0.500

=====

No. 11
Compound: Sc2CuSi2Ni5
Source: Alexandria
Functional: PBE
Structure: optimized geometry

Computed properties:
* DOS(E_F): 0.83 states/eV/atom
* SG: P4/mbm, No. 127
* crystal system: tetragonal
* E_form (uncorrected): -44 kJ/mol of atoms

Cell: 9.116 9.116 3.253 Å, 90.00 90.00 90.00°
Atoms (fractional coordinates):
Sc1 0.175 0.325 0.000
Sc2 0.325 0.825 0.000
Sc3 0.675 0.175 0.000
Sc4 0.825 0.675 0.000
Cu1 0.000 0.000 0.000
Cu2 0.500 0.500 0.000
Si1 0.124 0.624 0.000
Si2 0.376 0.124 0.000
Si3 0.624 0.876 0.000
Si4 0.876 0.376 0.000
Ni1 0.000 0.500 0.500
Ni2 0.058 0.793 0.500
Ni3 0.207 0.058 0.500
Ni4 0.293 0.558 0.500
Ni5 0.442 0.293 0.500
Ni6 0.500 0.000 0.500
Ni7 0.558 0.707 0.500
Ni8 0.707 0.442 0.500
Ni9 0.793 0.942 0.500
Ni10 0.942 0.207 0.500

=====

No. 12
Compound: ScCuSiNi
Source: Alexandria
Functional: PBE
Structure: optimized geometry

Computed properties:
* DOS(E_F): 0.33 states/eV/atom
* SG: F-43m, No. 216
* crystal system: cubic
* E_form (uncorrected): -48 kJ/mol of atoms

Cell: 4.249 4.249 4.249 Å, 60.00 60.00 60.00°
Atoms (fractional coordinates):
Sc1 0.000 0.000 0.000
Cu1 0.750 0.750 0.750
Si1 0.500 0.500 0.500
Ni1 0.250 0.250 0.250